Material: KScRh
Method: DFT, PBE
State: optimized geometry

extended XYZ file:
```
3
Lattice="0.000 3.326 3.326 3.326 0.000 3.326 3.326 3.326 0.000" Properties=species:S:1:pos:R:3 pbc="T T T"
K 0.000 0.000 0.000
Sc 4.989 4.989 4.989
Rh 1.663 1.663 1.663
```

* formation energy from the elements: 1.22 eV per atom
* total energy: -3.710 eV per atom
* excess energy over the best structure of this formula in the dataset: 1365 meV/atom